Arrangement w

SrMg3Pb3 | Alexandria via LeMat-Bulk | GGA-PBE | relaxed; N(E_F) = 10.81 states/eV/cell; V = 36.6 Å³/atom; crystal system = cubic; density = 5.06 Mg/m³
1.0
8.006 0.000 0.000
0.000 8.006 0.000
0.000 0.000 8.006
Sr Mg Pb
2 6 6
Direct
0.000 0.000 0.000
0.500 0.500 0.500
0.000 0.250 0.500
0.000 0.750 0.500
0.250 0.500 0.000
0.500 0.000 0.250
0.500 0.000 0.750
0.750 0.500 0.000
0.000 0.500 0.250
0.000 0.500 0.750
0.250 0.000 0.500
0.500 0.250 0.000
0.500 0.750 0.000
0.750 0.000 0.500

---

Arrangement x

SrMg3Pb3 | Alexandria via LeMat-Bulk | GGA-PBE | relaxed; N(E_F) = 7.40 states/eV/cell; V = 31.6 Å³/atom; crystal system = trigonal; density = 5.87 Mg/m³
1.0
4.392 2.536 6.620
-4.392 2.536 6.620
0.000 -5.072 6.620
Sr Mg Pb
2 6 6
Direct
0.166 0.166 0.166
0.834 0.834 0.834
0.030 0.385 0.736
0.264 0.970 0.615
0.385 0.736 0.030
0.615 0.264 0.970
0.736 0.030 0.385
0.970 0.615 0.264
0.143 0.727 0.435
0.273 0.565 0.857
0.435 0.143 0.727
0.565 0.857 0.273
0.727 0.435 0.143
0.857 0.273 0.565

---

Which one sits at the bottom of the stability order? arrangement w does.

---

Arrangement w

Mg2Ta2Pb | Alexandria via LeMat-Bulk | GGA-PBE | relaxed; N(E_F) = 5.61 states/eV/cell; V = 21.7 Å³/atom; crystal system = tetragonal; density = 9.47 Mg/m³
1.0
8.220 0.000 0.000
0.000 8.220 0.000
0.000 0.000 3.208
Mg Ta Pb
4 4 2
Direct
0.183 0.317 0.000
0.317 0.817 0.000
0.683 0.183 0.000
0.817 0.683 0.000
0.110 0.610 0.500
0.390 0.110 0.500
0.610 0.890 0.500
0.890 0.390 0.500
0.000 0.000 0.500
0.500 0.500 0.500

---

Arrangement x

Mg2Ta2Pb | Alexandria via LeMat-Bulk | GGA-PBE | relaxed; N(E_F) = 4.30 states/eV/cell; V = 22.1 Å³/atom; crystal system = tetragonal; density = 9.30 Mg/m³
1.0
3.941 0.000 0.000
0.000 3.941 0.000
0.000 0.000 14.202
Mg Ta Pb
4 4 2
Direct
0.000 0.500 0.250
0.000 0.500 0.750
0.500 0.000 0.250
0.500 0.000 0.750
0.000 0.000 0.088
0.000 0.000 0.912
0.500 0.500 0.412
0.500 0.500 0.588
0.000 0.000 0.500
0.500 0.500 0.000

---

Which one sits at the bottom of the stability order? arrangement x does.

---

Arrangement w

Mg2TaPb2 | Alexandria via LeMat-Bulk | GGA-PBE | relaxed; N(E_F) = 7.20 states/eV/cell; V = 26.3 Å³/atom; crystal system = tetragonal; density = 8.14 Mg/m³
1.0
4.319 0.000 0.000
0.000 4.319 0.000
0.000 0.000 14.081
Mg Ta Pb
4 2 4
Direct
0.000 0.000 0.093
0.000 0.000 0.907
0.500 0.500 0.407
0.500 0.500 0.593
0.000 0.000 0.500
0.500 0.500 0.000
0.000 0.500 0.250
0.000 0.500 0.750
0.500 0.000 0.250
0.500 0.000 0.750

---

Arrangement x

Mg2TaPb2 | Alexandria via LeMat-Bulk | GGA-PBE | relaxed; N(E_F) = 9.90 states/eV/cell; V = 23.2 Å³/atom; crystal system = tetragonal; density = 9.23 Mg/m³
1.0
7.903 0.000 0.000
0.000 7.903 0.000
0.000 0.000 3.709
Mg Ta Pb
4 2 4
Direct
0.134 0.366 0.000
0.366 0.866 0.000
0.634 0.134 0.000
0.866 0.634 0.000
0.000 0.000 0.000
0.500 0.500 0.000
0.170 0.670 0.500
0.330 0.170 0.500
0.670 0.830 0.500
0.830 0.330 0.500

---

Which one sits at the bottom of the stability order? arrangement w does.

---

Arrangement w

Mg2TePb | Alexandria via LeMat-Bulk | GGA-PBE | relaxed; N(E_F) = 3.63 states/eV/cell; V = 26.1 Å³/atom; crystal system = tetragonal; density = 6.10 Mg/m³
1.0
4.945 0.000 0.000
0.000 4.945 0.000
0.000 0.000 8.529
Mg Te Pb
4 2 2
Direct
0.000 0.500 0.250
0.000 0.500 0.750
0.500 0.000 0.250
0.500 0.000 0.750
0.000 0.000 0.000
0.500 0.500 0.500
0.000 0.000 0.500
0.500 0.500 0.000

---

Arrangement x

Mg2TePb | Alexandria via LeMat-Bulk | GGA-PBE | relaxed; N(E_F) = 1.53 states/eV/cell; V = 28.4 Å³/atom; crystal system = tetragonal; density = 5.61 Mg/m³
1.0
3.928 0.000 0.000
0.000 3.928 0.000
0.000 0.000 7.353
Mg Te Pb
2 1 1
Direct
0.000 0.000 0.000
0.500 0.500 0.259
0.500 0.500 0.872
0.000 0.000 0.475

---

Which one sits at the bottom of the stability order? arrangement w does.

---

Arrangement w

ThMgTlPb | Alexandria via LeMat-Bulk | GGA-PBE | relaxed; N(E_F) = 1.99 states/eV/cell; V = 27.6 Å³/atom; crystal system = orthorhombic; density = 10.04 Mg/m³
1.0
4.589 0.000 0.000
0.000 4.863 0.000
0.000 0.000 4.948
Th Mg Tl Pb
1 1 1 1
Direct
0.000 0.000 0.000
0.000 0.500 0.500
0.500 0.000 0.500
0.500 0.500 0.000

---

Arrangement x

ThMgTlPb | Alexandria via LeMat-Bulk | GGA-PBE | relaxed; N(E_F) = 14.15 states/eV/cell; V = 27.9 Å³/atom; crystal system = cubic; density = 9.94 Mg/m³
1.0
7.641 0.000 0.000
0.000 7.641 0.000
0.000 0.000 7.641
Th Mg Tl Pb
4 4 4 4
Direct
0.000 0.000 0.000
0.000 0.500 0.500
0.500 0.000 0.500
0.500 0.500 0.000
0.000 0.000 0.500
0.000 0.500 0.000
0.500 0.000 0.000
0.500 0.500 0.500
0.250 0.250 0.750
0.250 0.750 0.250
0.750 0.250 0.250
0.750 0.750 0.750
0.250 0.250 0.250
0.250 0.750 0.750
0.750 0.250 0.750
0.750 0.750 0.250

---

Which one sits at the bottom of the stability order? arrangement x does.

---

Arrangement w

MgTiPb3 | Alexandria via LeMat-Bulk | GGA-PBE | relaxed; N(E_F) = 8.41 states/eV/cell; V = 31.4 Å³/atom; crystal system = cubic; density = 7.34 Mg/m³
1.0
5.394 0.000 0.000
0.000 5.394 0.000
0.000 0.000 5.394
Mg Ti Pb
1 1 3
Direct
0.000 0.000 0.000
0.500 0.500 0.500
0.000 0.000 0.500
0.000 0.500 0.000
0.500 0.000 0.000

---

Arrangement x

MgTiPb3 | Alexandria via LeMat-Bulk | GGA-PBE | relaxed; N(E_F) = 1.92 states/eV/cell; V = 32.2 Å³/atom; crystal system = cubic; density = 7.15 Mg/m³
1.0
5.440 0.000 0.000
0.000 5.440 0.000
0.000 0.000 5.440
Mg Ti Pb
1 1 3
Direct
0.000 0.000 0.000
0.500 0.500 0.500
0.000 0.500 0.500
0.500 0.000 0.500
0.500 0.500 0.000

---

Which one sits at the bottom of the stability order? arrangement w does.

---

Arrangement w

MgTl4Pb | Alexandria via LeMat-Bulk | GGA-PBE | relaxed; N(E_F) = 4.93 states/eV/cell; V = 29.5 Å³/atom; crystal system = monoclinic; density = 9.83 Mg/m³
1.0
5.793 0.000 0.000
0.000 6.728 0.000
-0.963 0.000 9.094
Mg Tl Pb
2 8 2
Direct
0.139 0.250 0.457
0.861 0.750 0.543
0.219 0.007 0.764
0.219 0.493 0.764
0.231 0.750 0.082
0.347 0.750 0.441
0.653 0.250 0.559
0.769 0.250 0.918
0.781 0.507 0.236
0.781 0.993 0.236
0.287 0.250 0.141
0.713 0.750 0.859

---

Arrangement x

MgTl4Pb | Alexandria via LeMat-Bulk | GGA-PBE | relaxed; N(E_F) = 2.87 states/eV/cell; V = 31.3 Å³/atom; crystal system = cubic; density = 9.26 Mg/m³
1.0
0.000 4.548 4.548
4.548 0.000 4.548
4.548 4.548 0.000
Mg Tl Pb
1 4 1
Direct
0.000 0.000 0.000
0.375 0.375 0.375
0.375 0.375 0.874
0.375 0.874 0.375
0.874 0.375 0.375
0.750 0.750 0.750

---

Which one sits at the bottom of the stability order? arrangement x does.